Record 1
## BSbIO2 (PBE)

Data for BSbIO2 after structural relaxation.

Unit cell a=4.001 b=4.001 c=6.898 alpha=90.00 beta=90.00 gamma=90.00
Atoms (fractional coordinates):
B 0.000 0.000 0.000
Sb 0.500 0.500 0.500
I 0.500 0.500 0.000
O 0.000 0.500 0.500
O 0.500 0.000 0.500

Properties
- Uncorrected energy: -4.14 eV/atom
- Space group: No. 123


Record 2
## PPbAu2 (PBE)

Data for PPbAu2 after structural relaxation.

Unit cell a=4.426 b=4.677 c=4.598 alpha=90.00 beta=93.34 gamma=90.00
Atoms (fractional coordinates):
P 0.000 0.000 0.000
Pb 0.454 0.500 0.700
Au 0.826 0.000 0.497
Au 0.980 0.500 0.173

Properties
- ΔH_f (0 K): 0.236 eV/f.u.
- Uncorrected energy: -3.86 eV/atom
- Space group: No. 6


Record 3
## Nb5TcRu2 (PBE)

Data for Nb5TcRu2 after structural relaxation.

Unit cell a=5.560 b=5.560 c=5.560 alpha=109.43 beta=109.43 gamma=109.56
Atoms (fractional coordinates):
Nb 0.000 0.000 0.000
Nb 0.000 0.000 0.500
Nb 0.000 0.500 0.000
Nb 0.500 0.000 0.000
Nb 0.500 0.500 0.500
Tc 0.500 0.500 0.000
Ru 0.000 0.500 0.500
Ru 0.500 0.000 0.500

Properties
- ΔH_f (0 K): -2.184 eV/f.u.
- Uncorrected energy: -10.18 eV/atom
- Space group: No. 139


Record 4
## Mn2FeOs (PBE)

Data for Mn2FeOs after structural relaxation.

Unit cell a=4.118 b=4.118 c=4.118 alpha=60.00 beta=60.00 gamma=60.00
Atoms (fractional coordinates):
Mn 0.000 0.000 0.000
Mn 0.250 0.250 0.250
Fe 0.500 0.500 0.500
Os 0.750 0.750 0.750

Properties
- ΔH_f (0 K): 0.560 eV/f.u.
- Uncorrected energy: -9.37 eV/atom
- Space group: No. 216


Record 5
## Pa2GaTe4 (PBE)

Data for Pa2GaTe4 after structural relaxation.

Unit cell a=6.337 b=6.337 c=5.052 alpha=90.00 beta=90.00 gamma=104.53
Atoms (fractional coordinates):
Pa 0.232 0.768 0.000
Pa 0.768 0.232 0.000
Ga 0.000 0.000 0.500
Te 0.000 0.500 0.500
Te 0.275 0.275 0.000
Te 0.500 0.000 0.500
Te 0.725 0.725 0.000

Properties
- Uncorrected energy: -5.47 eV/atom
- Space group: No. 65


Record 6
## NdNiGePt (PBE)

Data for NdNiGePt after structural relaxation.

Unit cell a=5.599 b=5.599 c=5.599 alpha=136.64 beta=135.62 gamma=63.78
Atoms (fractional coordinates):
Nd 0.000 0.000 0.000
Ni 0.636 0.636 0.000
Ge 0.744 0.244 0.500
Pt 0.373 0.373 0.000

Properties
- ΔH_f (0 K): -2.466 eV/f.u.
- Uncorrected energy: -5.92 eV/atom
- Space group: No. 44


Record 7
## NbTcNF2 (PBE)

Data for NbTcNF2 after structural relaxation.

Unit cell a=4.210 b=4.210 c=4.088 alpha=90.00 beta=90.00 gamma=90.00
Atoms (fractional coordinates):
Nb 0.000 0.000 0.000
Tc 0.500 0.500 0.500
N 0.000 0.000 0.500
F 0.000 0.500 0.000
F 0.500 0.000 0.000

Properties
- Uncorrected energy: -6.92 eV/atom
- Space group: No. 123


Record 8
## Pr4InAg2 (PBE)

Data for Pr4InAg2 after structural relaxation.

Unit cell a=9.893 b=9.893 c=9.893 alpha=30.80 beta=30.80 gamma=30.80
Atoms (fractional coordinates):
Pr 0.122 0.122 0.122
Pr 0.291 0.291 0.291
Pr 0.709 0.709 0.709
Pr 0.878 0.878 0.878
In 0.500 0.500 0.500
Ag 0.400 0.400 0.400
Ag 0.600 0.600 0.600

Properties
- ΔH_f (0 K): -0.629 eV/f.u.
- Uncorrected energy: -4.03 eV/atom
- Space group: No. 166


Record 9
## NiPHS2 (PBE)

Data for NiPHS2 after structural relaxation.

Unit cell a=4.557 b=4.557 c=4.256 alpha=90.00 beta=90.00 gamma=90.00
Atoms (fractional coordinates):
Ni 0.000 0.000 0.000
P 0.000 0.000 0.500
H 0.500 0.500 0.500
S 0.000 0.500 0.000
S 0.500 0.000 0.000

Properties
- Uncorrected energy: -3.55 eV/atom
- Space group: No. 123


Record 10
## Dy3YTe3 (PBE)

Data for Dy3YTe3 after structural relaxation.

Unit cell a=7.852 b=7.852 c=7.852 alpha=69.77 beta=69.77 gamma=69.77
Atoms (fractional coordinates):
Dy 0.168 0.423 0.653
Dy 0.347 0.832 0.577
Dy 0.423 0.653 0.168
Dy 0.577 0.347 0.832
Dy 0.653 0.168 0.423
Dy 0.832 0.577 0.347
Y 0.191 0.191 0.191
Y 0.809 0.809 0.809
Te 0.038 0.821 0.397
Te 0.179 0.603 0.962
Te 0.397 0.038 0.821
Te 0.603 0.962 0.179
Te 0.821 0.397 0.038
Te 0.962 0.179 0.603

Properties
- Uncorrected energy: -5.26 eV/atom
- Space group: No. 148


Record 11
## Li2ScCuCl6 (PBE)

Data for Li2ScCuCl6 after structural relaxation.

Unit cell a=7.006 b=7.006 c=7.006 alpha=60.00 beta=60.00 gamma=60.00
Atoms (fractional coordinates):
Li 0.250 0.250 0.250
Li 0.750 0.750 0.750
Sc 0.000 0.000 0.000
Cu 0.500 0.500 0.500
Cl 0.250 0.250 0.750
Cl 0.250 0.750 0.250
Cl 0.250 0.750 0.750
Cl 0.750 0.250 0.250
Cl 0.750 0.250 0.750
Cl 0.750 0.750 0.250

Properties
- Uncorrected energy: -3.92 eV/atom
- Space group: No. 225


Record 12
## NaAlH (PBE)

Data for NaAlH after structural relaxation.

Unit cell a=4.685 b=4.685 c=23.451 alpha=90.00 beta=90.00 gamma=90.00
Atoms (fractional coordinates):
Na 0.248 0.252 0.065
Na 0.248 0.748 0.435
Na 0.252 0.248 0.685
Na 0.252 0.752 0.815
Na 0.748 0.248 0.315
Na 0.748 0.752 0.185
Na 0.752 0.252 0.935
Na 0.752 0.748 0.565
Al 0.249 0.250 0.228
Al 0.249 0.750 0.272
Al 0.250 0.249 0.522
Al 0.250 0.751 0.978
Al 0.750 0.249 0.478
Al 0.750 0.751 0.022
Al 0.751 0.250 0.772
Al 0.751 0.750 0.728
H 0.249 0.250 0.592
H 0.249 0.750 0.908
H 0.250 0.249 0.158
H 0.250 0.751 0.342
H 0.750 0.249 0.842
H 0.750 0.751 0.658
H 0.751 0.250 0.408
H 0.751 0.750 0.092

Properties
- Uncorrected energy: -2.75 eV/atom
- Space group: No. 91


Record 13
## ZrZnAu (PBE)

Data for ZrZnAu after structural relaxation.

Unit cell a=4.575 b=4.575 c=3.002 alpha=90.00 beta=90.00 gamma=120.00
Atoms (fractional coordinates):
Zr 0.000 0.000 0.000
Zn 0.667 0.333 0.500
Au 0.333 0.667 0.500

Properties
- ΔH_f (0 K): -1.330 eV/f.u.
- Uncorrected energy: -4.81 eV/atom
- Space group: No. 187


Record 14
## Ac4GaPdI2 (PBE)

Data for Ac4GaPdI2 after structural relaxation.

Unit cell a=8.093 b=4.529 c=8.654 alpha=90.00 beta=106.83 gamma=90.00
Atoms (fractional coordinates):
Ac 0.227 0.000 0.195
Ac 0.256 0.500 0.800
Ac 0.744 0.500 0.200
Ac 0.773 0.000 0.805
Ga 0.500 0.000 0.000
Pd 0.000 0.500 0.000
I 0.000 0.000 0.500
I 0.500 0.500 0.500

Properties
- Uncorrected energy: -4.30 eV/atom
- Space group: No. 10


Record 15
## WBr (PBE)

Data for WBr after structural relaxation.

Unit cell a=4.714 b=4.714 c=4.714 alpha=60.72 beta=60.72 gamma=60.72
Atoms (fractional coordinates):
W 0.123 0.123 0.123
W 0.877 0.877 0.877
Br 0.373 0.373 0.373
Br 0.627 0.627 0.627

Properties
- Uncorrected energy: -5.75 eV/atom
- Space group: No. 166


Record 16
## YAsRu2 (PBE)

Data for YAsRu2 after structural relaxation.

Unit cell a=5.450 b=5.450 c=5.450 alpha=45.83 beta=45.83 gamma=45.83
Atoms (fractional coordinates):
Y 0.000 0.000 0.000
As 0.500 0.500 0.500
Ru 0.206 0.206 0.206
Ru 0.794 0.794 0.794

Properties
- ΔH_f (0 K): -0.899 eV/f.u.
- Uncorrected energy: -7.64 eV/atom
- Space group: No. 166


Record 17
## Al2TcAs (PBE)

Data for Al2TcAs after structural relaxation.

Unit cell a=4.948 b=4.948 c=4.374 alpha=116.01 beta=116.01 gamma=39.81
Atoms (fractional coordinates):
Al 0.249 0.249 0.249
Al 0.751 0.751 0.751
Tc 0.000 0.000 0.500
As 0.500 0.500 0.000

Properties
- ΔH_f (0 K): -0.265 eV/f.u.
- Uncorrected energy: -5.69 eV/atom
- Space group: No. 12


Record 18
## VCu2SiH (PBE)

Data for VCu2SiH after structural relaxation.

Unit cell a=3.656 b=3.656 c=3.896 alpha=90.00 beta=90.00 gamma=90.00
Atoms (fractional coordinates):
V 0.000 0.000 0.000
Cu 0.000 0.500 0.500
Cu 0.500 0.000 0.500
Si 0.500 0.500 0.000
H 0.000 0.000 0.500

Properties
- Uncorrected energy: -5.29 eV/atom
- Space group: No. 123


Record 19
## SbSeS2N (PBE)

Data for SbSeS2N after structural relaxation.

Unit cell a=5.008 b=5.008 c=3.690 alpha=90.00 beta=90.00 gamma=90.00
Atoms (fractional coordinates):
Sb 0.000 0.000 0.000
Se 0.500 0.500 0.500
S 0.000 0.500 0.500
S 0.500 0.000 0.500
N 0.500 0.500 0.000

Properties
- Uncorrected energy: -3.95 eV/atom
- Space group: No. 123


Record 20
## CsPuCd2Br8 (PBE)

Data for CsPuCd2Br8 after structural relaxation.

Unit cell a=7.026 b=7.256 c=10.064 alpha=74.11 beta=76.52 gamma=74.72
Atoms (fractional coordinates):
Cs 0.000 0.000 0.000
Pu 0.000 0.000 0.500
Cd 0.453 0.443 0.220
Cd 0.547 0.557 0.780
Br 0.165 0.703 0.729
Br 0.263 0.792 0.298
Br 0.275 0.242 0.472
Br 0.386 0.288 0.029
Br 0.614 0.712 0.971
Br 0.725 0.758 0.528
Br 0.737 0.208 0.702
Br 0.835 0.297 0.271

Properties
- Uncorrected energy: -3.73 eV/atom
- Space group: No. 2